Record 1
# Ac3Pr2Y

A relaxed structure of Ac3Pr2Y (PBE-GGA, Alexandria via LeMat-Bulk).

Unit cell a=3.9307 b=9.1414 c=13.4383 alpha=89.68 beta=90.00 gamma=90.00
Element x y z (fractional)
Pr 0.2500 0.9234 0.1106
Ac 0.7500 0.6008 0.2506
Ac 0.7500 0.0863 0.6110
Pr 0.7500 0.0766 0.8894
Ac 0.7500 0.6639 0.9456
Ac 0.2500 0.9137 0.3890
Y 0.7500 0.1883 0.2562
Ac 0.2500 0.3992 0.7494
Pr 0.2500 0.3534 0.4491
Ac 0.2500 0.3361 0.0544
Y 0.2500 0.8117 0.7438
Pr 0.7500 0.6466 0.5509

## Properties
* space-group type: No. 11



Record 2
# Ac16Pr7Y6

A relaxed structure of Ac16Pr7Y6 (PBE-GGA, Alexandria via LeMat-Bulk).

Unit cell a=12.0393 b=12.0393 c=12.0393 alpha=60.00 beta=60.00 gamma=60.00
Element x y z (fractional)
Y 0.7434 0.2566 0.7434
Ac 0.8761 0.8761 0.8761
Ac 0.9399 0.3534 0.3534
Ac 0.6283 0.1239 0.1239
Y 0.2566 0.7434 0.7434
Ac 0.6466 0.0601 0.6466
Ac 0.1239 0.1239 0.6283
Pr 0.5000 0.5000 0.0000
Ac 0.1239 0.1239 0.1239
Pr 0.0000 0.5000 0.5000
Y 0.7434 0.7434 0.2566
Ac 0.3534 0.3534 0.9399
Ac 0.6466 0.6466 0.6466
Ac 0.3717 0.8761 0.8761
Ac 0.8761 0.3717 0.8761
Ac 0.3534 0.9399 0.3534
Y 0.2566 0.7434 0.2566
Y 0.2566 0.2566 0.7434
Pr 0.0000 0.0000 0.0000
Y 0.7434 0.2566 0.2566
Pr 0.5000 0.0000 0.0000
Pr 0.5000 0.0000 0.5000
Pr 0.0000 0.5000 0.0000
Ac 0.1239 0.6283 0.1239
Ac 0.8761 0.8761 0.3717
Ac 0.6466 0.6466 0.0601
Ac 0.3534 0.3534 0.3534
Ac 0.0601 0.6466 0.6466
Pr 0.0000 0.0000 0.5000

## Properties
* space-group type: No. 225



Record 3
# AcPr3Y2

A relaxed structure of AcPr3Y2 (PBE-GGA, Alexandria via LeMat-Bulk).

Unit cell a=6.4309 b=6.4309 c=12.2992 alpha=110.30 beta=110.30 gamma=70.93
Element x y z (fractional)
Pr 0.5410 0.7903 0.0809
Pr 0.6253 0.3747 0.2500
Pr 0.2097 0.4590 0.4191
Ac 0.1259 0.8741 0.2500
Y 0.9588 0.7093 0.9176
Ac 0.8741 0.1259 0.7500
Y 0.2907 0.0412 0.5824
Pr 0.3747 0.6253 0.7500
Pr 0.4590 0.2097 0.9191
Y 0.0412 0.2907 0.0824
Pr 0.7903 0.5410 0.5809
Y 0.7093 0.9588 0.4176

## Properties
* space-group type: No. 15



Record 4
# AcPr2Y8

A relaxed structure of AcPr2Y8 (PBE-GGA, Alexandria via LeMat-Bulk).

Unit cell a=5.6000 b=10.3729 c=10.3729 alpha=40.60 beta=92.87 gamma=92.87
Element x y z (fractional)
Y 0.7292 0.4025 0.8647
Y 0.7661 0.8115 0.8115
Y 0.2708 0.1353 0.5975
Pr 0.7531 0.2855 0.2855
Ac 0.0000 0.0000 0.0000
Y 0.2708 0.5975 0.1353
Y 0.7605 0.4537 0.4537
Y 0.7292 0.8647 0.4025
Y 0.2395 0.5463 0.5463
Pr 0.2469 0.7145 0.7145
Y 0.2339 0.1885 0.1885

## Properties
* space-group type: No. 12



Record 5
# AcPr6Y

A relaxed structure of AcPr6Y (PBE-GGA, Alexandria via LeMat-Bulk).

Unit cell a=5.2809 b=5.2809 c=10.5494 alpha=90.00 beta=90.00 gamma=90.00
Element x y z (fractional)
Pr 0.0000 0.5000 0.2570
Pr 0.5000 0.0000 0.2570
Y 0.0000 0.0000 0.5000
Pr 0.5000 0.5000 0.0000
Pr 0.5000 0.5000 0.5000
Pr 0.0000 0.5000 0.7430
Ac 0.0000 0.0000 0.0000
Pr 0.5000 0.0000 0.7430

## Properties
* space-group type: No. 123



Record 6
# Ac2Pr5Y

A relaxed structure of Ac2Pr5Y (PBE-GGA, Alexandria via LeMat-Bulk).

Unit cell a=5.3218 b=7.5136 c=15.0673 alpha=90.00 beta=90.00 gamma=90.00
Element x y z (fractional)
Ac 0.5000 0.2479 0.6244
Pr 0.5000 0.7514 0.1246
Y 0.0000 0.0000 0.5000
Pr 0.0000 0.0000 0.0000
Pr 0.5000 0.2514 0.3754
Ac 0.5000 0.7521 0.3756
Pr 0.0000 0.5000 0.5000
Pr 0.0000 0.9974 0.7489
Ac 0.5000 0.7479 0.8756
Ac 0.5000 0.2521 0.1244
Pr 0.5000 0.7486 0.6246
Y 0.0000 0.5000 0.0000
Pr 0.0000 0.5026 0.2489
Pr 0.0000 0.4974 0.7511
Pr 0.5000 0.2486 0.8754
Pr 0.0000 0.0026 0.2511

## Properties
* space-group type: No. 55



Record 7
# Ac3PrY4

A relaxed structure of Ac3PrY4 (PBE-GGA, Alexandria via LeMat-Bulk).

Unit cell a=3.6593 b=9.2917 c=9.2917 alpha=81.53 beta=78.64 gamma=78.64
Element x y z (fractional)
Pr 0.5000 0.0000 0.0000
Ac 0.7630 0.2370 0.2370
Ac 0.0000 0.5000 0.5000
Ac 0.2370 0.7630 0.7630
Y 0.6346 0.1123 0.6185
Y 0.3654 0.8877 0.3815
Y 0.3654 0.3815 0.8877
Y 0.6346 0.6185 0.1123

## Properties
* space-group type: No. 71



Record 8
# Ac2Pr4Y

A relaxed structure of Ac2Pr4Y (PBE-GGA, Alexandria via LeMat-Bulk).

Unit cell a=3.8094 b=3.8094 c=21.3525 alpha=84.88 beta=84.88 gamma=60.00
Element x y z (fractional)
Ac 0.5943 0.5943 0.2171
Pr 0.6903 0.6903 0.9292
Pr 0.8789 0.8789 0.3632
Y 0.5000 0.5000 0.5000
Pr 0.1211 0.1211 0.6368
Ac 0.4057 0.4057 0.7829
Pr 0.3097 0.3097 0.0708

## Properties
* space-group type: No. 166



Record 9
# AcPr8Y2

A relaxed structure of AcPr8Y2 (PBE-GGA, Alexandria via LeMat-Bulk).

Unit cell a=6.1477 b=9.4127 c=9.7852 alpha=61.25 beta=73.79 gamma=54.53
Element x y z (fractional)
Ac 0.5000 0.0000 0.0000
Pr 0.5000 0.2077 0.5845
Pr 0.5000 0.7923 0.4155
Pr 0.8094 0.3427 0.7553
Y 0.0000 0.6882 0.6236
Y 0.0000 0.3118 0.3764
Pr 0.1906 0.6573 0.2447
Pr 0.2940 0.4323 0.0000
Pr 0.1906 0.9020 0.7553
Pr 0.7060 0.5677 0.0000
Pr 0.8094 0.0980 0.2447

## Properties
* space-group type: No. 12



Record 10
# Ac2PrY4

A relaxed structure of Ac2PrY4 (PBE-GGA, Alexandria via LeMat-Bulk).

Unit cell a=8.8067 b=8.8065 c=8.8063 alpha=109.58 beta=109.25 gamma=109.58
Element x y z (fractional)
Ac 0.8750 0.1306 0.5056
Y 0.2936 0.2468 0.8836
Y 0.6368 0.7532 0.0468
Ac 0.4944 0.3694 0.6250
Y 0.6335 0.7468 0.5435
Pr 0.7500 0.5000 0.2500
Y 0.9532 0.5900 0.7065
Pr 0.0000 0.0000 0.0000
Y 0.1165 0.4100 0.3632
Y 0.4565 0.0900 0.2032
Y 0.1132 0.9100 0.3664
Y 0.7968 0.2532 0.8868
Ac 0.3750 0.8694 0.7444
Ac 0.2556 0.6306 0.1250

## Properties
* space-group type: No. 122



Record 11
# Ac2PrY

A relaxed structure of Ac2PrY (PBE-GGA, Alexandria via LeMat-Bulk).

Unit cell a=3.8864 b=3.8864 c=10.3876 alpha=90.00 beta=90.00 gamma=90.00
Element x y z (fractional)
Ac 0.0000 0.0000 0.7548
Pr 0.5000 0.5000 0.5000
Y 0.5000 0.5000 0.0000
Ac 0.0000 0.0000 0.2452

## Properties
* space-group type: No. 123



Record 12
# Ac2Pr3Y4

A relaxed structure of Ac2Pr3Y4 (PBE-GGA, Alexandria via LeMat-Bulk).

Unit cell a=3.7333 b=3.7333 c=27.4259 alpha=90.00 beta=90.00 gamma=120.00
Element x y z (fractional)
Pr 0.0000 0.0000 0.3303
Y 0.6667 0.3333 0.4384
Y 0.0000 0.0000 0.7528
Ac 0.6667 0.3333 0.0967
Pr 0.6667 0.3333 0.6463
Y 0.6667 0.3333 0.2262
Pr 0.0000 0.0000 0.9832
Ac 0.6667 0.3333 0.8639
Y 0.0000 0.0000 0.5395

## Properties
* space-group type: No. 156



Record 13
# AcPr14Y

A relaxed structure of AcPr14Y (PBE-GGA, Alexandria via LeMat-Bulk).

Unit cell a=7.4378 b=7.4378 c=10.5498 alpha=90.00 beta=90.00 gamma=90.00
Element x y z (fractional)
Pr 0.6220 0.8720 0.2509
Pr 0.6220 0.8720 0.7491
Pr 0.3748 0.1248 0.5000
Pr 0.6220 0.3780 0.7490
Pr 0.3752 0.1252 0.0000
Y 0.3749 0.6251 0.0000
Pr 0.1279 0.8721 0.2508
Pr 0.8750 0.1250 0.5000
Pr 0.3750 0.6250 0.5000
Pr 0.1279 0.8721 0.7492
Pr 0.8752 0.6252 0.5000
Pr 0.1280 0.3780 0.7491
Pr 0.6220 0.3780 0.2510
Pr 0.1280 0.3780 0.2509
Pr 0.8748 0.6248 0.0000
Ac 0.8751 0.1249 0.0000

## Properties
* space-group type: No. 123



Record 14
# Ac2PrY

A relaxed structure of Ac2PrY (PBE-GGA, Alexandria via LeMat-Bulk).

Unit cell a=3.7492 b=3.7492 c=13.3886 alpha=81.95 beta=81.95 gamma=60.00
Element x y z (fractional)
Ac 0.9103 0.9103 0.2692
Y 0.5000 0.5000 0.5000
Ac 0.0897 0.0897 0.7308
Pr 0.0000 0.0000 0.0000

## Properties
* space-group type: No. 166



Record 15
# AcPrY2

A relaxed structure of AcPrY2 (PBE-GGA, Alexandria via LeMat-Bulk).

Unit cell a=5.1009 b=5.3125 c=5.3125 alpha=90.00 beta=90.00 gamma=90.00
Element x y z (fractional)
Pr 0.5000 0.0000 0.0000
Y 0.0000 0.0000 0.5000
Ac 0.5000 0.5000 0.5000
Y 0.0000 0.5000 0.0000

## Properties
* space-group type: No. 123



Record 16
# Ac3Pr2Y

A relaxed structure of Ac3Pr2Y (PBE-GGA, Alexandria via LeMat-Bulk).

Unit cell a=7.1773 b=9.5526 c=7.1773 alpha=82.61 beta=83.94 gamma=97.39
Element x y z (fractional)
Ac 0.8633 0.0199 0.3018
Y 0.8858 0.2500 0.8858
Pr 0.6183 0.8809 0.8840
Ac 0.1367 0.9801 0.6982
Ac 0.6982 0.5199 0.1367
Pr 0.8840 0.6191 0.6183
Ac 0.3018 0.4801 0.8633
Pr 0.1160 0.3809 0.3817
Ac 0.4403 0.7500 0.4403
Ac 0.5597 0.2500 0.5597
Pr 0.3817 0.1191 0.1160
Y 0.1142 0.7500 0.1142

## Properties
* space-group type: No. 15



Record 17
# AcPrY2

A relaxed structure of AcPrY2 (PBE-GGA, Alexandria via LeMat-Bulk).

Unit cell a=3.7342 b=3.7342 c=12.1777 alpha=81.18 beta=81.18 gamma=60.00
Element x y z (fractional)
Y 0.2526 0.2526 0.2423
Ac 0.5003 0.5003 0.4991
Y 0.0806 0.0806 0.7581
Pr 0.6665 0.6665 0.0005

## Properties
* space-group type: No. 160



Record 18
# Ac6Pr3Y2

A relaxed structure of Ac6Pr3Y2 (PBE-GGA, Alexandria via LeMat-Bulk).

Unit cell a=8.5945 b=6.6577 c=15.8094 alpha=60.68 beta=49.48 gamma=97.47
Element x y z (fractional)
Y 0.5406 0.3550 0.9133
Ac 0.0848 0.7333 0.8193
Y 0.4594 0.6450 0.0867
Pr 0.8270 0.5496 0.3575
Ac 0.3641 0.9113 0.2667
Ac 0.9152 0.2667 0.1807
Ac 0.7200 0.8155 0.5487
Ac 0.6359 0.0887 0.7333
Ac 0.2800 0.1845 0.4513
Pr 0.0000 0.0000 0.0000
Pr 0.1730 0.4504 0.6425

## Properties
* space-group type: No. 2



Record 19
# AcPr5Y5

A relaxed structure of AcPr5Y5 (PBE-GGA, Alexandria via LeMat-Bulk).

Unit cell a=6.2622 b=6.2622 c=11.9916 alpha=90.00 beta=90.00 gamma=120.00
Element x y z (fractional)
Y 0.8343 0.6687 0.5000
Pr 0.6667 0.3333 0.1574
Ac 0.3333 0.6667 0.0000
Y 0.8343 0.1657 0.5000
Pr 0.0000 0.0000 0.0000
Pr 0.6667 0.3333 0.8426
Y 0.3313 0.1657 0.5000
Pr 0.3333 0.6667 0.6749
Y 0.0000 0.0000 0.2631
Y 0.0000 0.0000 0.7369
Pr 0.3333 0.6667 0.3251

## Properties
* space-group type: No. 187



Record 20
# Ac2Pr5Y5

A relaxed structure of Ac2Pr5Y5 (PBE-GGA, Alexandria via LeMat-Bulk).

Unit cell a=5.9251 b=6.7311 c=12.5760 alpha=75.98 beta=76.37 gamma=63.89
Element x y z (fractional)
Pr 0.1996 0.0771 0.5237
Y 0.5000 0.5000 0.5000
Y 0.3146 0.3458 0.0251
Y 0.6854 0.6542 0.9749
Pr 0.2417 0.7363 0.7803
Pr 0.0000 0.0000 0.0000
Ac 0.9156 0.4630 0.7058
Pr 0.8004 0.9229 0.4763
Y 0.5657 0.1073 0.7613
Pr 0.7583 0.2637 0.2197
Y 0.4343 0.8927 0.2387
Ac 0.0844 0.5370 0.2942

## Properties
* space-group type: No. 12



Record 21
# AcPr4Y4

A relaxed structure of AcPr4Y4 (PBE-GGA, Alexandria via LeMat-Bulk).

Unit cell a=5.1921 b=8.2349 c=8.2349 alpha=84.30 beta=71.62 gamma=71.62
Element x y z (fractional)
Ac 0.0000 0.0000 0.0000
Y 0.6691 0.0000 0.6617
Pr 0.9999 0.6667 0.3335
Y 0.3308 0.3383 0.0000
Pr 0.3334 0.6665 0.6667
Y 0.6692 0.6617 0.0000
Y 0.3309 0.0000 0.3383
Pr 0.0001 0.3333 0.6665
Pr 0.6666 0.3335 0.3333

## Properties
* space-group type: No. 139



Number 1: energy -4.6709 eV/atom, DFT formation energy 31 kJ/mol of formula units. Number 2: energy -4.5477 eV/atom, DFT formation energy 588 kJ/mol of formula units. Number 3: energy -5.1974 eV/atom, DFT formation energy 18 kJ/mol of formula units. Number 4: energy -5.8119 eV/atom, DFT formation energy 140 kJ/mol of formula units. Number 5: energy -4.8854 eV/atom, DFT formation energy 16 kJ/mol of formula units. Number 6: energy -4.8015 eV/atom, DFT formation energy 16 kJ/mol of formula units. Number 7: energy -5.2140 eV/atom, DFT formation energy 121 kJ/mol of formula units. Number 8: energy -4.8036 eV/atom, DFT formation energy 17 kJ/mol of formula units. Number 9: energy -4.8966 eV/atom, DFT formation energy 136 kJ/mol of formula units. Number 10: energy -5.2562 eV/atom, DFT formation energy 199 kJ/mol of formula units. Number 11: energy -4.8293 eV/atom, DFT formation energy 14 kJ/mol of formula units. Number 12: energy -5.3007 eV/atom, DFT formation energy 68 kJ/mol of formula units. Number 13: energy -4.8311 eV/atom, DFT formation energy 18 kJ/mol of formula units. Number 14: energy -4.6737 eV/atom, DFT formation energy 74 kJ/mol of formula units. Number 15: energy -5.4178 eV/atom, DFT formation energy 14 kJ/mol of formula units. Number 16: energy -4.6146 eV/atom, DFT formation energy 64 kJ/mol of formula units. Number 17: energy -5.4037 eV/atom, DFT formation energy 19 kJ/mol of formula units. Number 18: energy -4.6817 eV/atom, DFT formation energy 40 kJ/mol of formula units. Number 19: energy -5.2011 eV/atom, DFT formation energy 300 kJ/mol of formula units. Number 20: energy -5.2778 eV/atom, DFT formation energy 106 kJ/mol of formula units. Number 21: energy -5.4288 eV/atom, DFT formation energy 22 kJ/mol of formula units.